A geometry-optimized CaScAl structure. Source: the Alexandria database, functional GGA-PBE.

Geometry as extended XYZ:
```
6
Lattice="4.5918 0.0000 0.0000 0.0000 4.5918 0.0000 0.0000 0.0000 7.6663" Properties=species:S:1:pos:R:3 pbc="T T T"
Ca 2.2959 0.0000 1.4479
Ca 0.0000 2.2959 6.2184
Al 2.2959 2.2959 3.8331
Al 0.0000 0.0000 3.8331
Sc 0.0000 2.2959 2.1316
Sc 2.2959 0.0000 5.5347
```

- VASP energy (eV for the cell shown) = -24.3
- Fermi-level density of states (states/eV/atom) = 0.485

---

A geometry-optimized MnBeFe3 structure. Source: the Alexandria database, functional GGA-PBE.

Geometry as extended XYZ:
```
5
Lattice="-2.5581 -3.1167 0.9762 -0.3591 -0.9641 -4.0190 3.2462 -2.5627 0.3247" Properties=species:S:1:pos:R:3 pbc="T T T"
Be 0.1645 -3.3217 -1.3590
Fe -0.1795 -0.4820 -2.0095
Fe -1.2791 -1.5583 0.4881
Fe 1.6231 -1.2814 0.1624
Mn 0.0000 0.0000 0.0000
```

- VASP energy (eV for the cell shown) = -31.6
- Fermi-level density of states (states/eV/atom) = 1.334

---

A geometry-optimized PuThGa2 structure. Source: the Alexandria database, functional GGA-PBE.

Geometry as extended XYZ:
```
4
Lattice="3.7140 0.0000 -0.0423 0.0000 4.4147 0.0000 -1.7817 0.0000 5.9018" Properties=species:S:1:pos:R:3 pbc="T T T"
Ga -0.9396 2.2074 4.9114
Ga -0.9563 0.0000 3.3624
Pu 0.8873 2.2074 2.2523
Th 2.7127 0.0000 0.1470
```

- VASP energy (eV for the cell shown) = -29.1
- Fermi-level density of states (states/eV/atom) = 1.840

---

Number 1: calculated formation energy -24 meV per atom. Number 2: calculated formation energy 1331 meV per atom. Number 3: calculated formation energy -328 meV per atom.